Entry 1:
Density functional theory data (PBE) for crystalline AcY6Ho2Tm3 at its relaxed geometry.

Cell and atoms, written as POSCAR:
```
AcY6Ho2Tm3
1.0
6.199 0.001 0.015
-3.097 5.370 0.015
-1.059 -1.834 11.664
Tm Y Ho Ac
3 6 2 1
Cartesian
1.021 1.768 5.847 Tm
-2.074 3.556 5.847 Tm
4.117 -0.019 5.847 Tm
3.089 1.739 8.707 Y
-0.011 -0.019 8.689 Y
2.080 -0.008 2.986 Y
2.053 3.555 3.004 Y
-0.038 3.544 8.707 Y
-1.046 1.798 2.986 Y
3.100 1.791 0.015 Ho
0.002 3.580 0.015 Ho
0.000 0.000 0.000 Ac
```

Output
The value obtained for the formation energy is 0.46 eV/f.u.

---

Entry 2:
Density functional theory data (PBE) for crystalline BaTa2RuW at its relaxed geometry.

Cell and atoms, written as POSCAR:
```
BaTa2RuW
1.0
4.847 0.000 0.000
0.000 4.847 0.000
0.000 0.000 5.460
Ru Ba W Ta
1 1 1 2
Cartesian
0.000 0.000 0.000 Ru
0.000 0.000 2.730 Ba
2.423 2.423 2.730 W
2.423 0.000 0.000 Ta
0.000 2.423 0.000 Ta
```

Output
The value obtained for the formation energy is 9.36 eV/f.u.

---

Entry 3:
Density functional theory data (PBE) for crystalline KNdIrO4 at its relaxed geometry.

Cell and atoms, written as POSCAR:
```
KNdIrO4
1.0
6.629 0.000 0.000
-3.315 5.891 -0.755
0.000 -3.851 6.333
O Nd Ir K
8 2 2 2
Cartesian
3.315 0.393 3.870 O
1.866 -0.735 1.722 O
4.764 -0.735 1.722 O
0.000 1.648 1.708 O
3.315 1.691 1.735 O
0.000 0.349 3.844 O
-1.449 2.775 3.856 O
1.449 2.775 3.856 O
3.315 0.000 0.000 Nd
3.315 -1.926 3.167 Nd
1.657 1.020 2.789 Ir
-1.657 1.020 2.789 Ir
0.000 -1.783 5.422 K
3.315 3.823 0.156 K
```

Output
For the total energy, the calculation gives -6.682 eV per atom.

---

Entry 4:
Density functional theory data (PBE) for crystalline YLuZnOs at its relaxed geometry.

Cell and atoms, written as POSCAR:
```
YLuZnOs
1.0
4.864 0.000 0.000
2.432 4.212 0.000
2.432 1.404 3.971
Os Y Lu Zn
1 1 1 1
Cartesian
0.000 0.000 0.000 Os
7.296 4.212 2.978 Y
2.432 1.404 0.993 Lu
4.864 2.808 1.986 Zn
```

Output
The value obtained for the formation energy is -1.23 eV/f.u.

---

Entry 5:
Density functional theory data (PBE) for crystalline Be3SbOs at its relaxed geometry.

Cell and atoms, written as POSCAR:
```
Be3SbOs
1.0
4.433 0.000 0.000
0.000 4.433 0.000
0.000 0.000 4.433
Be Sb Os
3 1 1
Cartesian
0.000 0.000 2.216 Be
2.216 0.000 0.000 Be
0.000 2.216 0.000 Be
0.000 0.000 0.000 Sb
2.216 2.216 2.216 Os
```

Output
For the polymorph energy (0 for the lowest one), the calculation gives 1.267 eV/atom.

---

Entry 6:
Density functional theory data (PBE) for crystalline Ba2CaRh at its relaxed geometry.

Cell and atoms, written as POSCAR:
```
Ba2CaRh
1.0
3.875 0.000 0.000
0.000 3.873 0.011
0.000 3.825 10.532
Rh Ca Ba
1 1 2
Cartesian
1.938 5.774 7.907 Rh
1.938 1.925 2.636 Ca
0.000 3.832 9.710 Ba
0.000 3.842 6.094 Ba
```

Output
For the polymorph energy (0 for the lowest one), the calculation gives 0.200 eV/atom. The value obtained for the formation energy is -0.06 eV/f.u.

---

Entry 7:
Density functional theory data (PBE) for crystalline Pm2ErBi at its relaxed geometry.

Cell and atoms, written as POSCAR:
```
Pm2ErBi
1.0
4.668 0.000 -0.019
0.000 4.662 0.000
-2.287 0.000 11.588
Bi Pm Er
2 4 2
Cartesian
0.016 1.165 4.029 Bi
2.365 3.496 7.539 Bi
0.008 3.496 1.427 Pm
0.039 3.496 10.061 Pm
2.342 1.165 1.508 Pm
2.373 1.165 10.141 Pm
2.352 3.496 4.411 Er
0.029 1.165 7.157 Er
```

Output
For the polymorph energy (0 for the lowest one), the calculation gives 0.005 eV/atom. The value obtained for the formation energy is -1.53 eV/f.u.

---

Entry 8:
Density functional theory data (PBE) for crystalline RbCuBC2 at its relaxed geometry.

Cell and atoms, written as POSCAR:
```
RbCuBC2
1.0
4.263 0.000 0.000
0.000 4.263 0.000
0.000 0.000 4.097
C Rb B Cu
2 1 1 1
Cartesian
0.000 2.131 0.000 C
2.131 0.000 0.000 C
2.131 2.131 2.048 Rb
0.000 0.000 2.048 B
0.000 0.000 0.000 Cu
```

Output
The value obtained for the formation energy is 12.12 eV/f.u.